*w*
NbMo3As: optimized geometry, PBE.

The structure in extended XYZ format:
```
5
Lattice="4.7738 0.0000 0.0000 0.0000 4.7738 0.0000 0.0000 0.0000 4.7738" Properties=species:S:1:pos:R:3 pbc="T T T"
Nb 0.0000 0.0000 0.0000
Mo 0.0000 0.0000 2.3869
Mo 0.0000 2.3869 0.0000
Mo 2.3869 0.0000 0.0000
As 2.3869 2.3869 2.3869
```

Computed properties:
DOS at the Fermi energy: 6.8 states/eV/cell
spin magnetization: 0.25 μB/atom
calculated volume: 108.8 Å³ per cell

=====

*x*
NbMo3As: optimized geometry, PBE.

The structure in extended XYZ format:
```
5
Lattice="4.5745 0.0000 0.0000 0.0000 4.5745 0.0000 0.0000 0.0000 4.5745" Properties=species:S:1:pos:R:3 pbc="T T T"
Nb 0.0000 0.0000 0.0000
Mo 0.0000 2.2873 2.2873
Mo 2.2873 0.0000 2.2873
Mo 2.2873 2.2873 0.0000
As 2.2873 2.2873 2.2873
```

Computed properties:
DOS at the Fermi energy: 9.8 states/eV/cell
spin magnetization: 0.00 μB/atom
calculated volume: 95.7 Å³ per cell

=====

What should be chosen as the most stable of them? Choose *x*.

=====

*w*
NbMoAsSe2: optimized geometry, PBE.

The structure in extended XYZ format:
```
5
Lattice="4.9120 0.0000 0.0000 0.0000 4.9120 0.0000 0.0000 0.0000 4.8542" Properties=species:S:1:pos:R:3 pbc="T T T"
Nb 0.0000 0.0000 0.0000
Mo 2.4560 2.4560 2.4271
As 2.4560 2.4560 0.0000
Se 0.0000 2.4560 2.4271
Se 2.4560 0.0000 2.4271
```

Computed properties:
DOS at the Fermi energy: 4.6 states/eV/cell
spin magnetization: 0.70 μB/atom
calculated volume: 117.1 Å³ per cell

=====

*x*
NbMoAsSe2: optimized geometry, PBE.

The structure in extended XYZ format:
```
5
Lattice="4.9983 0.0000 0.0000 0.0000 4.9983 0.0000 0.0000 0.0000 5.0553" Properties=species:S:1:pos:R:3 pbc="T T T"
Nb 0.0000 0.0000 0.0000
Mo 2.4991 2.4991 2.5277
As 0.0000 0.0000 2.5277
Se 0.0000 2.4991 0.0000
Se 2.4991 0.0000 0.0000
```

Computed properties:
DOS at the Fermi energy: 3.6 states/eV/cell
spin magnetization: 0.82 μB/atom
calculated volume: 126.3 Å³ per cell

=====

What should be chosen as the most stable of them? Choose *x*.

=====

*w*
YNbMo2As: optimized geometry, PBE.

The structure in extended XYZ format:
```
5
Lattice="4.6944 0.0000 0.0000 0.0000 4.6944 0.0000 0.0000 0.0000 5.5708" Properties=species:S:1:pos:R:3 pbc="T T T"
Y 0.0000 0.0000 0.0000
Nb 0.0000 0.0000 2.7854
Mo 0.0000 2.3472 2.7854
Mo 2.3472 0.0000 2.7854
As 2.3472 2.3472 0.0000
```

Computed properties:
DOS at the Fermi energy: 3.5 states/eV/cell
spin magnetization: 0.00 μB/atom
calculated volume: 122.8 Å³ per cell

=====

*x*
YNbMo2As: optimized geometry, PBE.

The structure in extended XYZ format:
```
5
Lattice="4.6372 0.0000 0.0000 0.0000 4.6372 0.0000 0.0000 0.0000 5.1219" Properties=species:S:1:pos:R:3 pbc="T T T"
Y 0.0000 0.0000 0.0000
Nb 2.3186 2.3186 0.0000
Mo 0.0000 2.3186 2.5609
Mo 2.3186 0.0000 2.5609
As 0.0000 0.0000 2.5609
```

Computed properties:
DOS at the Fermi energy: 6.8 states/eV/cell
spin magnetization: 0.00 μB/atom
calculated volume: 110.1 Å³ per cell

=====

What should be chosen as the most stable of them? Choose *x*.